The following is a PBE-GGA calculation of a relaxed TbPmSmLu crystal, from Alexandria.

Results
ΔE_f ... 0.12 eV/atom
SG ... F-43m (216)
E ... -72.6 eV per cell

a = 8.052 Å, b = 8.052 Å, c = 8.052 Å
α = 90.00°, β = 90.00°, γ = 90.00°
Fractional positions:
Tb  0.000  0.000  0.000
Tb  0.000  0.500  0.500
Tb  0.500  0.000  0.500
Tb  0.500  0.500  0.000
Pm  0.250  0.250  0.250
Pm  0.250  0.750  0.750
Pm  0.750  0.250  0.750
Pm  0.750  0.750  0.250
Sm  0.250  0.250  0.750
Sm  0.250  0.750  0.250
Sm  0.750  0.250  0.250
Sm  0.750  0.750  0.750
Lu  0.000  0.000  0.500
Lu  0.000  0.500  0.000
Lu  0.500  0.000  0.000
Lu  0.500  0.500  0.500